Entry 1
First-principles (GGA-PBE) data for a geometry-optimized CrGaSbTe2 structure, as listed in the Alexandria database.

Symmetry ... P4/mmm (123)
Size of the total moment ... 0.3 μB per formula unit
Crystal system ... tetragonal

a b c (Å): 5.348 5.348 5.149
angles (deg): 90.00 90.00 90.00
Sites, in units of the cell vectors:
Cr  0.000  0.000  0.000
Ga  0.500  0.500  0.500
Sb  0.500  0.500  0.000
Te  0.000  0.500  0.500
Te  0.500  0.000  0.500

***

Entry 2
First-principles (GGA-PBE) data for a geometry-optimized CrGaSbTe2 structure, as listed in the Alexandria database.

Symmetry ... P4/mmm (123)
Size of the total moment ... 2.6 μB per formula unit
Crystal system ... tetragonal

a b c (Å): 5.368 5.368 5.055
angles (deg): 90.00 90.00 90.00
Sites, in units of the cell vectors:
Cr  0.000  0.000  0.000
Ga  0.500  0.500  0.500
Sb  0.000  0.000  0.500
Te  0.000  0.500  0.000
Te  0.500  0.000  0.000

***

It comes down to entry 2, which is 88.1 kJ/mol of atoms more stable than the next structure.

***

Entry 1
First-principles (GGA-PBE) data for a geometry-optimized Sc2CrGa2 structure, as listed in the Alexandria database.

Symmetry ... I4/mmm (139)
Size of the total moment ... 0.0 μB per formula unit
Crystal system ... tetragonal

a b c (Å): 6.868 6.868 6.868
angles (deg): 147.89 147.89 46.04
Sites, in units of the cell vectors:
Sc  0.250  0.750  0.500
Sc  0.750  0.250  0.500
Cr  0.000  0.000  0.000
Ga  0.408  0.408  0.000
Ga  0.592  0.592  0.000

***

Entry 2
First-principles (GGA-PBE) data for a geometry-optimized Sc2CrGa2 structure, as listed in the Alexandria database.

Symmetry ... P4/mbm (127)
Size of the total moment ... 2.9 μB per formula unit
Crystal system ... tetragonal

a b c (Å): 6.910 6.910 3.933
angles (deg): 90.00 90.00 90.00
Sites, in units of the cell vectors:
Sc  0.174  0.326  0.000
Sc  0.326  0.826  0.000
Sc  0.674  0.174  0.000
Sc  0.826  0.674  0.000
Cr  0.000  0.000  0.500
Cr  0.500  0.500  0.500
Ga  0.130  0.630  0.500
Ga  0.370  0.130  0.500
Ga  0.630  0.870  0.500
Ga  0.870  0.370  0.500

***

It comes down to entry 2, which is 68.7 kJ/mol of atoms more stable than the next structure.

***

Entry 1
First-principles (GGA-PBE) data for a geometry-optimized ScCrGa3 structure, as listed in the Alexandria database.

Symmetry ... Pm-3m (221)
Size of the total moment ... 0.9 μB per formula unit
Crystal system ... cubic

a b c (Å): 4.603 4.603 4.603
angles (deg): 90.00 90.00 90.00
Sites, in units of the cell vectors:
Sc  0.000  0.000  0.000
Cr  0.500  0.500  0.500
Ga  0.000  0.500  0.500
Ga  0.500  0.000  0.500
Ga  0.500  0.500  0.000

***

Entry 2
First-principles (GGA-PBE) data for a geometry-optimized ScCrGa3 structure, as listed in the Alexandria database.

Symmetry ... Pm-3m (221)
Size of the total moment ... 4.4 μB per formula unit
Crystal system ... cubic

a b c (Å): 5.123 5.123 5.123
angles (deg): 90.00 90.00 90.00
Sites, in units of the cell vectors:
Sc  0.000  0.000  0.000
Cr  0.500  0.500  0.500
Ga  0.000  0.000  0.500
Ga  0.000  0.500  0.000
Ga  0.500  0.000  0.000

***

It comes down to entry 1, which is 77.8 kJ/mol of atoms more stable than the next structure.

***

Entry 1
First-principles (GGA-PBE) data for a geometry-optimized CrGaSe3 structure, as listed in the Alexandria database.

Symmetry ... Cmc2_1 (36)
Size of the total moment ... 3.0 μB per formula unit
Crystal system ... orthorhombic

a b c (Å): 10.379 10.379 6.213
angles (deg): 90.00 90.00 158.88
Sites, in units of the cell vectors:
Cr  0.176  0.824  0.500
Cr  0.824  0.176  0.000
Ga  0.374  0.626  0.436
Ga  0.626  0.374  0.936
Se  0.075  0.925  0.756
Se  0.271  0.729  0.227
Se  0.386  0.614  0.819
Se  0.614  0.386  0.319
Se  0.729  0.271  0.727
Se  0.925  0.075  0.256

***

Entry 2
First-principles (GGA-PBE) data for a geometry-optimized CrGaSe3 structure, as listed in the Alexandria database.

Symmetry ... P2_1/m (11)
Size of the total moment ... 3.0 μB per formula unit
Crystal system ... monoclinic

a b c (Å): 6.397 3.768 10.701
angles (deg): 90.00 97.26 90.00
Sites, in units of the cell vectors:
Cr  0.026  0.250  0.157
Cr  0.974  0.750  0.843
Ga  0.489  0.750  0.248
Ga  0.511  0.250  0.752
Se  0.137  0.250  0.728
Se  0.219  0.750  0.053
Se  0.324  0.250  0.343
Se  0.676  0.750  0.657
Se  0.781  0.250  0.947
Se  0.863  0.750  0.272

***

It comes down to entry 1, which is 3.4 kJ/mol of atoms more stable than the next structure.

***

Entry 1
First-principles (GGA-PBE) data for a geometry-optimized CrGaSe3 structure, as listed in the Alexandria database.

Symmetry ... Pm-3m (221)
Size of the total moment ... 3.5 μB per formula unit
Crystal system ... cubic

a b c (Å): 4.962 4.962 4.962
angles (deg): 90.00 90.00 90.00
Sites, in units of the cell vectors:
Cr  0.000  0.000  0.000
Ga  0.500  0.500  0.500
Se  0.000  0.500  0.500
Se  0.500  0.000  0.500
Se  0.500  0.500  0.000

***

Entry 2
First-principles (GGA-PBE) data for a geometry-optimized CrGaSe3 structure, as listed in the Alexandria database.

Symmetry ... Pnma (62)
Size of the total moment ... 3.0 μB per formula unit
Crystal system ... orthorhombic

a b c (Å): 10.339 3.790 12.574
angles (deg): 90.00 90.00 90.00
Sites, in units of the cell vectors:
Cr  0.097  0.250  0.110
Cr  0.403  0.750  0.610
Cr  0.597  0.250  0.390
Cr  0.903  0.750  0.890
Ga  0.234  0.750  0.293
Ga  0.266  0.250  0.793
Ga  0.734  0.750  0.207
Ga  0.766  0.250  0.707
Se  0.071  0.250  0.906
Se  0.089  0.250  0.317
Se  0.237  0.250  0.603
Se  0.263  0.750  0.103
Se  0.411  0.750  0.817
Se  0.429  0.750  0.406
Se  0.571  0.250  0.594
Se  0.589  0.250  0.183
Se  0.737  0.250  0.897
Se  0.763  0.750  0.397
Se  0.911  0.750  0.683
Se  0.929  0.750  0.094

***

It comes down to entry 2, which is 100.8 kJ/mol of atoms more stable than the next structure.

***

Entry 1
First-principles (GGA-PBE) data for a geometry-optimized CrGaSi structure, as listed in the Alexandria database.

Symmetry ... Cm (8)
Size of the total moment ... 0.9 μB per formula unit
Crystal system ... monoclinic

a b c (Å): 2.757 2.757 6.203
angles (deg): 97.02 97.02 68.00
Sites, in units of the cell vectors:
Cr  0.000  0.000  0.000
Ga  0.430  0.430  0.321
Si  0.574  0.574  0.717

***

Entry 2
First-principles (GGA-PBE) data for a geometry-optimized CrGaSi structure, as listed in the Alexandria database.

Symmetry ... Pmmm (47)
Size of the total moment ... 0.0 μB per formula unit
Crystal system ... orthorhombic

a b c (Å): 2.564 4.079 4.387
angles (deg): 90.00 90.00 90.00
Sites, in units of the cell vectors:
Cr  0.000  0.000  0.000
Ga  0.500  0.000  0.500
Si  0.500  0.500  0.000

***

Entry 3
First-principles (GGA-PBE) data for a geometry-optimized CrGaSi structure, as listed in the Alexandria database.

Symmetry ... P4mm (99)
Size of the total moment ... 1.2 μB per formula unit
Crystal system ... tetragonal

a b c (Å): 2.743 2.743 5.785
angles (deg): 90.00 90.00 90.00
Sites, in units of the cell vectors:
Cr  0.000  0.000  0.000
Ga  0.500  0.500  0.694
Si  0.500  0.500  0.269

***

Entry 4
First-principles (GGA-PBE) data for a geometry-optimized CrGaSi structure, as listed in the Alexandria database.

Symmetry ... I-4m2 (119)
Size of the total moment ... 1.1 μB per formula unit
Crystal system ... tetragonal

a b c (Å): 4.447 4.447 4.447
angles (deg): 132.94 132.94 68.75
Sites, in units of the cell vectors:
Cr  0.000  0.000  0.000
Ga  0.750  0.250  0.500
Si  0.250  0.750  0.500

***

It comes down to entry 2, which is 0.5 kJ/mol of atoms more stable than the next structure.